Compound: Ac2CuH6Pd
Source: Alexandria via LeMat-Bulk
Functional: PBE-GGA
Structure: optimized geometry

Summary:
- Mass density: 8.678 g/cm³
- Final energy: -4.117 eV per atom
- V: 241.1 Å³/cell
- D(E_F): 0.304 states/eV/atom

Geometry as CIF:
```
data_Ac2CuH6Pd
_space_group_name_H-M_alt 'C 1 m 1'
_space_group_IT_number 8
_cell_length_a 7.588
_cell_length_b 7.757
_cell_length_c 5.576
_cell_angle_alpha 90.00
_cell_angle_beta 132.72
_cell_angle_gamma 90.00
loop_
_space_group_symop_operation_xyz
'x,y,z'
'x,-y,z'
'x+1/2,y+1/2,z'
'x+1/2,-y+1/2,z'
loop_
_atom_site_label
_atom_site_type_symbol
_atom_site_fract_x
_atom_site_fract_y
_atom_site_fract_z
Ac1 Ac 0.000 0.250 0.000
Cu1 Cu 0.004 0.000 0.507
H1 H 0.013 0.248 0.526
H2 H 0.241 0.000 0.983
H3 H 0.261 0.500 0.526
H4 H 0.268 0.000 0.530
H5 H 0.294 0.500 0.087
Pd1 Pd 0.481 0.000 0.461
```



Compound: Ac2CuHPd6
Source: Alexandria via LeMat-Bulk
Functional: PBE-GGA
Structure: optimized geometry

Summary:
- Mass density: 10.446 g/cm³
- Final energy: -5.295 eV per atom
- V: 367.9 Å³/cell
- D(E_F): 0.246 states/eV/atom

Geometry as CIF:
```
data_Ac2CuHPd6
_space_group_name_H-M_alt 'C 1 2/m 1'
_space_group_IT_number 12
_cell_length_a 10.256
_cell_length_b 5.908
_cell_length_c 6.982
_cell_angle_alpha 90.00
_cell_angle_beta 119.59
_cell_angle_gamma 90.00
loop_
_space_group_symop_operation_xyz
'x,y,z'
'-x,-y,-z'
'-x,y,-z'
'x,-y,z'
'x+1/2,y+1/2,z'
'-x+1/2,-y+1/2,-z'
'-x+1/2,y+1/2,-z'
'x+1/2,-y+1/2,z'
loop_
_atom_site_label
_atom_site_type_symbol
_atom_site_fract_x
_atom_site_fract_y
_atom_site_fract_z
Ac1 Ac 0.228 0.000 0.186
Cu1 Cu 0.000 0.500 0.000
H1 H 0.000 0.000 0.500
Pd1 Pd 0.021 0.251 0.314
Pd2 Pd 0.229 0.000 0.685
```



Compound: Ac2CuHPt6
Source: Alexandria via LeMat-Bulk
Functional: PBE-GGA
Structure: optimized geometry

Summary:
- Mass density: 15.232 g/cm³
- Final energy: -5.867 eV per atom
- V: 552.4 Å³/cell
- D(E_F): 0.305 states/eV/atom

Geometry as CIF:
```
data_Ac2CuHPt6
_space_group_name_H-M_alt 'R -3 m'
_space_group_IT_number 166
_space_group_name_Hall '-R 3 2"'
_cell_length_a 5.8408
_cell_length_b 5.8408
_cell_length_c 18.6990
_cell_angle_alpha 90.00
_cell_angle_beta 90.00
_cell_angle_gamma 120.00
loop_
_atom_site_label
_atom_site_type_symbol
_atom_site_fract_x
_atom_site_fract_y
_atom_site_fract_z
Ac1 Ac 0.0000 0.0000 0.2201
Cu1 Cu 0.0000 0.0000 0.5000
H1 H 0.0000 0.0000 0.0000
Pt1 Pt 0.0082 0.5041 0.2725
```